Below is an optimized crystal structure of ScAl2Tl, with properties calculated at the PBE level.

Computed properties:
The calculated formation energy comes out at -0.088 eV/atom. As for the total DFT energy (no corrections): -16.535 eV per cell.

```
data_ScAl2Tl
_symmetry_space_group_name_H-M 'P m m m'
_symmetry_Int_Tables_number 47
_cell_length_a 3.1207
_cell_length_b 4.5665
_cell_length_c 5.9036
_cell_angle_alpha 90.00
_cell_angle_beta 90.00
_cell_angle_gamma 90.00
loop_
_symmetry_equiv_pos_as_xyz
'x,y,z'
'-x,-y,-z'
'-x,-y,z'
'x,y,-z'
'x,-y,-z'
'-x,y,z'
'-x,y,-z'
'x,-y,z'
loop_
_atom_site_label
_atom_site_type_symbol
_atom_site_fract_x
_atom_site_fract_y
_atom_site_fract_z
Sc1 Sc 0.0000 0.0000 0.0000
Al1 Al 0.5000 0.5000 0.2199
Tl1 Tl 0.5000 0.0000 0.5000
```

Below is an optimized crystal structure of Sc4AlTl2, with properties calculated at the PBE level.

Computed properties:
The calculated formation energy comes out at -0.159 eV/atom. As for the total DFT energy (no corrections): -104.733 eV per cell.

```
data_Sc4AlTl2
_symmetry_space_group_name_H-M 'R -3 m'
_symmetry_Int_Tables_number 166
_symmetry_space_group_name_Hall '-R 3 2"'
_cell_length_a 4.9150
_cell_length_b 4.9150
_cell_length_c 24.1739
_cell_angle_alpha 90.00
_cell_angle_beta 90.00
_cell_angle_gamma 120.00
loop_
_atom_site_label
_atom_site_type_symbol
_atom_site_fract_x
_atom_site_fract_y
_atom_site_fract_z
Sc1 Sc 0.0000 0.0000 0.1236
Sc2 Sc 0.0000 0.0000 0.3752
Al1 Al 0.0000 0.0000 0.5000
Tl1 Tl 0.0000 0.0000 0.2539
```

Below is an optimized crystal structure of Sc12Al3Tl, with properties calculated at the PBE level.

Computed properties:
The calculated formation energy comes out at -0.236 eV/atom. As for the total DFT energy (no corrections): -93.354 eV per cell.

```
data_Sc12Al3Tl
_symmetry_space_group_name_H-M 'P 4/m m m'
_symmetry_Int_Tables_number 123
_symmetry_space_group_name_Hall '-P 4 2'
_cell_length_a 4.4496
_cell_length_b 4.4496
_cell_length_c 17.7866
_cell_angle_alpha 90.00
_cell_angle_beta 90.00
_cell_angle_gamma 90.00
loop_
_atom_site_label
_atom_site_type_symbol
_atom_site_fract_x
_atom_site_fract_y
_atom_site_fract_z
Sc1 Sc 0.0000 0.0000 0.0000
Sc2 Sc 0.0000 0.0000 0.2474
Sc3 Sc 0.0000 0.0000 0.5000
Sc4 Sc 0.0000 0.5000 0.1237
Sc5 Sc 0.0000 0.5000 0.3695
Al1 Al 0.5000 0.5000 0.0000
Al2 Al 0.5000 0.5000 0.2475
Tl1 Tl 0.5000 0.5000 0.5000
```

Below is an optimized crystal structure of Sc4AlTl, with properties calculated at the PBE level.

Computed properties:
The calculated formation energy comes out at -0.011 eV/atom. As for the total DFT energy (no corrections): -94.495 eV per cell.

```
data_Sc4AlTl
_symmetry_space_group_name_H-M 'R -3 m'
_symmetry_Int_Tables_number 166
_symmetry_space_group_name_Hall '-R 3 2"'
_cell_length_a 4.7873
_cell_length_b 4.7873
_cell_length_c 23.6714
_cell_angle_alpha 90.00
_cell_angle_beta 90.00
_cell_angle_gamma 120.00
loop_
_atom_site_label
_atom_site_type_symbol
_atom_site_fract_x
_atom_site_fract_y
_atom_site_fract_z
Sc1 Sc 0.0000 0.0000 0.1204
Sc2 Sc 0.0000 0.0000 0.3711
Al1 Al 0.0000 0.0000 0.0000
Tl1 Tl 0.0000 0.0000 0.5000
```

Below is an optimized crystal structure of Sc3AlTl, with properties calculated at the PBE level.

Computed properties:
The calculated formation energy comes out at 0.522 eV/atom. As for the total DFT energy (no corrections): -22.491 eV per cell.

```
data_Sc3AlTl
_symmetry_space_group_name_H-M 'P m -3 m'
_symmetry_Int_Tables_number 221
_symmetry_space_group_name_Hall '-P 4 2 3'
_cell_length_a 5.3108
_cell_length_b 5.3108
_cell_length_c 5.3108
_cell_angle_alpha 90.00
_cell_angle_beta 90.00
_cell_angle_gamma 90.00
loop_
_atom_site_label
_atom_site_type_symbol
_atom_site_fract_x
_atom_site_fract_y
_atom_site_fract_z
Sc1 Sc 0.0000 0.0000 0.5000
Al1 Al 0.5000 0.5000 0.5000
Tl1 Tl 0.0000 0.0000 0.0000
```

Below is an optimized crystal structure of TmScAlTl, with properties calculated at the PBE level.

Computed properties:
The calculated formation energy comes out at -0.328 eV/atom. As for the total DFT energy (no corrections): -18.222 eV per cell.

```
data_TmScAlTl
_symmetry_space_group_name_H-M 'P 4 m m'
_symmetry_Int_Tables_number 99
_cell_length_a 3.2643
_cell_length_b 3.2643
_cell_length_c 8.6182
_cell_angle_alpha 90.00
_cell_angle_beta 90.00
_cell_angle_gamma 90.00
loop_
_symmetry_equiv_pos_as_xyz
'x,y,z'
'-y,x,z'
'-x,-y,z'
'y,-x,z'
'-x,y,z'
'y,x,z'
'x,-y,z'
'-y,-x,z'
loop_
_atom_site_label
_atom_site_type_symbol
_atom_site_fract_x
_atom_site_fract_y
_atom_site_fract_z
Tm1 Tm 0.0000 0.0000 0.0000
Sc1 Sc 0.0000 0.0000 0.5407
Al1 Al 0.5000 0.5000 0.7604
Tl1 Tl 0.5000 0.5000 0.2792
```